InPWO2 (GGA+U, optimized geometry); mass density = 7.3 g cm⁻³; E = -6.01 eV/atom; offset from the most stable computed form = 0 meV/atom
1.0
3.940 0.000 0.000
0.000 3.940 0.000
0.000 0.000 5.308
In P W O
1 1 1 2
direct
0.000 0.000 0.000
0.500 0.500 0.000
0.500 0.500 0.500
0.000 0.500 0.500
0.500 0.000 0.500